DFT (GGA-PBE) results for a geometry-optimized Pm2Pr9Dy structure.

The value obtained for the total energy is -4.746 eV per atom. As for the calculated formation energy: 0.013 eV per atom. The density of states at the Fermi level is 1.722 states/eV/atom.

Structure (POSCAR):
```
Pm2Pr9Dy
1.0
5.216 0.000 0.000
0.000 5.216 0.000
0.000 0.000 15.643
Pr Pm Dy
9 2 1
direct
0.500 0.500 0.332
0.500 0.000 0.500
0.000 0.500 0.835
0.500 0.000 0.165
0.500 0.500 0.668
0.500 0.500 0.000
0.000 0.500 0.165
0.500 0.000 0.835
0.000 0.500 0.500
0.000 0.000 0.668
0.000 0.000 0.332
0.000 0.000 0.000
```